No. 1
# KTlAs2Au

Crystalline KTlAs2Au at its relaxed geometry (PBE-GGA, Alexandria via LeMat-Bulk).

Cell: 5.6265 5.6265 5.9201 Å, 90.00 90.00 90.00°
Last column: nearest neighbours and their distance in Å.
Space group P4/mmm (No. 123)
Symmetry-distinct sites (fractional):
K: 0.0000 0.0000 0.0000 [1 per cell]  4 As 2.81, 2 Tl 2.96
Tl: 0.0000 0.0000 0.5000 [1 per cell]  2 K 2.96
As: 0.0000 0.5000 0.0000 [2 per cell]  2 K 2.81
Au: 0.5000 0.5000 0.5000 [1 per cell]  4 Tl 3.98, 8 As 4.08

Computed properties:
Energy relative to the elements ... 1.31 eV per atom
Theoretical density ... 5.23 g cm⁻³
Energy ... -1.903 eV/atom

---

No. 2
# In4PtI2

Crystalline In4PtI2 at its relaxed geometry (PBE-GGA, Alexandria via LeMat-Bulk).

Cell: 5.2565 5.2565 17.9374 Å, 90.00 90.00 90.00°
Last column: nearest neighbours and their distance in Å.
Space group I4/mmm (No. 139)
Symmetry-distinct sites (fractional):
In: 0.0000 0.0000 0.1526 [4 per cell]  1 Pt 2.74
In: 0.0000 0.5000 0.0000 [4 per cell]  2 Pt 2.63
Pt: 0.0000 0.0000 0.0000 [2 per cell]  6 In 2.63-2.74
I: 0.0000 0.0000 0.3449 [4 per cell]  9 In 3.45-3.83

Computed properties:
ΔE_f (raw) ... -371 meV/atom
Theoretical density ... 6.09 g cm⁻³
Energy ... -3.242 eV/atom

---

No. 3
# Sb2OsRu

Crystalline Sb2OsRu at its relaxed geometry (PBE-GGA, Alexandria via LeMat-Bulk).

Cell: 3.1998 3.1998 24.3963 Å, 90.00 90.00 120.00°
Last column: nearest neighbours and their distance in Å.
Space group R-3m (No. 166, hexagonal axes)
Symmetry-distinct sites (fractional):
Sb: 0.0000 0.0000 0.2495 [6 per cell]  3 Ru 2.74, 3 Os 2.76
Os: 0.0000 0.0000 0.0000 [3 per cell]  6 Sb 2.76
Ru: 0.0000 0.0000 0.5000 [3 per cell]  6 Sb 2.74

Computed properties:
ΔE_f (raw) ... 357 meV/atom
Theoretical density ... 12.32 g cm⁻³
Energy ... -6.830 eV/atom

---

No. 4
# BaHNF2

Crystalline BaHNF2 at its relaxed geometry (PBE-GGA, Alexandria via LeMat-Bulk).

Cell: 5.0173 5.0173 6.5334 Å, 90.00 90.00 90.00°
Last column: nearest neighbours and their distance in Å.
Space group P4/mmm (No. 123)
Symmetry-distinct sites (fractional):
Ba: 0.0000 0.0000 0.0000 [1 per cell]  4 F 2.51
H: 0.5000 0.5000 0.5000 [1 per cell]  4 N 3.55
N: 0.0000 0.0000 0.5000 [1 per cell]  2 Ba 3.27, 4 H 3.55
F: 0.0000 0.5000 0.0000 [2 per cell]  2 Ba 2.51

Computed properties:
Theoretical density ... 1.92 g cm⁻³
Energy ... -4.030 eV/atom